# 1
Computed, not measured: a geometry-optimized LaZn4Co structure at the GGA-PBE level of DFT.

Summary:
Formation energy (eV per atom): -0.093
Size of the total moment (Bohr magnetons per cell): 0.00

a b c (Å): 5.252 5.252 5.252
angles (deg): 60.00 60.00 60.00
Fractional positions:
Zn1 0.869 0.377 0.377
Zn2 0.377 0.377 0.377
Zn3 0.377 0.377 0.869
Zn4 0.377 0.869 0.377
Co1 0.750 0.750 0.750
La1 0.000 0.000 0.000

***

# 2
Computed, not measured: a geometry-optimized La5ZnCo2 structure at the GGA-PBE level of DFT.

Summary:
Formation energy (eV per atom): -0.141
Size of the total moment (Bohr magnetons per cell): 0.00

a b c (Å): 7.894 7.894 8.842
angles (deg): 116.51 116.51 90.00
Fractional positions:
Co1 0.631 0.131 0.000
Co2 0.869 0.631 0.000
Co3 0.369 0.869 0.000
Co4 0.131 0.369 0.000
La1 0.795 0.972 0.266
La2 0.528 0.705 0.734
La3 0.295 0.795 0.266
La4 0.028 0.528 0.734
La5 0.972 0.472 0.266
La6 0.500 0.500 0.000
La7 0.205 0.028 0.734
La8 0.705 0.205 0.734
La9 0.472 0.295 0.266
La10 0.000 0.000 0.000
Zn1 0.750 0.750 0.500
Zn2 0.250 0.250 0.500

***

> Among the records above, which one has the lowest formation energy?

La5ZnCo2